Record 1
VASP calculation (GGA-PBE) on crystalline CsAlRhF2 at its relaxed geometry.

The calculation puts the electronic total energy at -0.144 Ha/atom. Its density of states at the Fermi level is 1.99 states/eV per cell. For the magnetization, the calculation gives 0.000 μB per atom.

Cell lengths 3.8712, 8.5186, 3.8712 Å; angles 90.00, 90.00, 90.00 degrees
Fractional positions:
Cs 0.0000 0.5000 0.0000
Al 0.0000 0.0000 0.0000
F 0.5000 0.0000 0.0000
F 0.0000 0.0000 0.5000
Rh 0.5000 0.5000 0.5000

=====

Record 2
VASP calculation (GGA-PBE) on crystalline Cs2AlRhF6 at its relaxed geometry.

The calculation puts the electronic total energy at -0.182 Ha/atom. Its density of states at the Fermi level is 0.00 states/eV per cell. For the magnetization, the calculation gives 0.200 μB per atom.

Cell lengths 6.1965, 6.1965, 6.1894 Å; angles 59.96, 59.96, 90.00 degrees
Fractional positions:
F 0.2875 0.2875 0.4250
F 0.7119 0.7119 0.0000
Rh 0.0000 0.0000 0.0000
F 0.2881 0.2881 0.0000
Cs 0.2500 0.7500 0.5000
Al 0.5000 0.5000 0.0000
F 0.7125 0.7125 0.5750
F 0.2881 0.7119 0.0000
Cs 0.7500 0.2500 0.5000
F 0.7119 0.2881 0.0000